(1)
{"formula": "Rb2SrAsW", "functional": "PBE", "state": "optimized geometry", "cell": [[-2.4866, 3.8559, 4.7989], [-5.4495, -2.1074, -1.1304], [0.9670, -4.8667, 4.4114]], "species": ["Rb", "Rb", "W", "As", "Sr"], "frac_coords": [[0.0000, 0.0000, 0.5000], [0.5000, 0.0000, 0.0000], [0.5000, 0.5000, 0.5000], [0.0000, 0.0000, 0.0000], [0.0000, 0.5000, 0.0000]], "m_tot_mub_per_cell": 5.00, "ef_mev_per_atom": 1042.8}

***

(2)
{"formula": "YTiBiIr2", "functional": "PBE", "state": "optimized geometry", "cell": [[4.9864, 0.0000, 0.0000], [0.0000, 5.4633, 0.0000], [0.0000, 0.0000, 4.9864]], "species": ["Ti", "Bi", "Y", "Ir", "Ir"], "frac_coords": [[0.5000, 0.5000, 0.5000], [0.0000, 0.0000, 0.0000], [0.0000, 0.5000, 0.0000], [0.0000, 0.0000, 0.5000], [0.5000, 0.0000, 0.0000]], "m_tot_mub_per_cell": 0.01, "ef_mev_per_atom": 1505.9}

***

(3)
{"formula": "CeMgIr", "functional": "PBE", "state": "optimized geometry", "cell": [[-2.8991, 1.1520, -4.2520], [-3.7638, -2.6613, 1.8403], [-0.5437, 5.7448, 0.4863]], "species": ["Mg", "Mg", "Ce", "Ce", "Ir", "Ir"], "frac_coords": [[0.3006, 0.4208, 0.8363], [0.7040, 0.5870, 0.1670], [0.8073, 0.8724, 0.7389], [0.1971, 0.1353, 0.2642], [0.6911, 0.1901, 0.3727], [0.3133, 0.8176, 0.6305]], "m_tot_mub_per_cell": 0.53, "ef_mev_per_atom": -523.1}

***

(4)
{"formula": "BaGe3Pt3", "functional": "PBE", "state": "optimized geometry", "cell": [[-4.5514, 0.0596, -0.9488], [1.5845, -4.5682, -7.8880], [-1.6876, -4.6811, 7.8008]], "species": ["Pt", "Pt", "Pt", "Pt", "Pt", "Pt", "Ge", "Ge", "Ge", "Ge", "Ge", "Ge", "Ba", "Ba"], "frac_coords": [[0.7500, 0.9318, 0.6077], [0.2500, 0.3242, 0.9318], [0.7500, 0.6758, 0.0682], [0.2500, 0.6078, 0.6760], [0.2500, 0.0682, 0.3923], [0.7500, 0.3922, 0.3240], [0.2500, 0.3273, 0.3750], [0.7500, 0.3748, 0.0476], [0.7500, 0.6727, 0.6250], [0.7500, 0.9523, 0.3273], [0.2500, 0.6252, 0.9524], [0.2500, 0.0477, 0.6727], [0.7500, 0.3334, 0.6667], [0.2500, 0.6666, 0.3333]], "e_above_lowest_polymorph_ev_per_atom": 0.1171, "m_tot_mub_per_cell": 0.00, "ef_mev_per_atom": -485.7}